5
Lattice="4.757 0.000 0.000 0.000 4.757 0.000 0.000 0.000 4.757" Properties=species:S:1:pos:R:3 comment="PBE CuTcCl3, relaxed" density_g_cm3=4.132 spacegroup=Pm-3m final_energy_ev_per_cell=-18.40 relative_energy_mev_per_atom=112 crystal_system=cubic pbc="T T T"
Cu 0.000 0.000 0.000
Tc 2.379 2.379 2.379
Cl 0.000 0.000 2.379
Cl 0.000 2.379 0.000
Cl 2.379 0.000 0.000

5
Lattice="5.010 0.000 0.000 0.000 5.010 0.000 0.000 0.000 5.280" Properties=species:S:1:pos:R:3 comment="PBE CuTcTe2Cl, relaxed" density_g_cm3=5.667 spacegroup=P4/mmm final_energy_ev_per_cell=-18.26 crystal_system=tetragonal pbc="T T T"
Cu 0.000 0.000 0.000
Tc 0.000 0.000 2.640
Te 0.000 2.505 0.000
Te 2.505 0.000 0.000
Cl 2.505 2.505 2.640

12
Lattice="6.170 0.000 0.000 0.566 6.893 0.000 1.018 2.707 7.889" Properties=species:S:1:pos:R:3 comment="PBE TlCu2TcCl8, relaxed" density_g_cm3=3.529 spacegroup=P-1 final_energy_ev_per_cell=-43.80 crystal_system=triclinic pbc="T T T"
Tl 0.000 0.000 0.000
Cu 4.122 5.791 6.437
Cu 3.632 3.809 1.452
Tc 0.792 4.800 3.944
Cl 1.758 5.425 6.048
Cl 1.792 6.649 2.919
Cl 2.703 3.435 3.472
Cl 4.374 7.826 7.534
Cl 3.380 1.774 0.355
Cl 5.052 6.166 4.417
Cl 5.963 2.951 4.970
Cl 5.997 4.176 1.841